The following is a DFT calculation (PBE) of a relaxed Hg2BiBr crystal.

Geometry as POSCAR:
```
Hg2BiBr
1.0
0.0000 3.8379 3.8379
3.8379 0.0000 3.8379
3.8379 3.8379 0.0000
Bi Hg Br
1 2 1
Cartesian
3.8379 3.8379 3.8379
1.9189 1.9189 1.9189
5.7568 5.7568 5.7568
0.0000 0.0000 0.0000
```

Calculated values
The value obtained for the total magnetization is 0.0 Bohr magnetons per cell. Its calculated volume is 113.1 Å³ per cell. The calculation puts the raw formation energy at 0.400 eV/f.u. The space-group type is No. 225.

The following is a DFT calculation (PBE) of a relaxed Hg12Bi5Br3 crystal.

Geometry as POSCAR:
```
Hg12Bi5Br3
1.0
15.7845 0.0000 0.0000
-5.2615 14.8818 0.0000
-5.2615 -7.4409 12.8880
Bi Hg Br
20 48 12
Cartesian
2.6308 3.7205 6.4440
6.5769 3.7205 9.6660
0.0000 0.0000 0.0000
5.2615 -3.7205 6.4440
-5.2615 3.7205 6.4440
7.8923 0.0000 0.0000
-2.6308 -3.7205 6.4440
6.5769 -4.6506 11.2770
-1.3154 12.0915 1.6110
-1.3154 3.7205 3.2220
-2.6308 7.4409 0.0000
3.9461 2.7903 1.6110
3.9461 11.1614 3.2220
1.3154 -3.7205 9.6660
5.2615 7.4409 0.0000
9.2077 -0.9301 8.0550
1.3154 4.6506 11.2770
-3.9461 8.3710 4.8330
-1.3154 0.9301 8.0550
6.5769 6.5108 4.8330
-0.8552 9.1952 1.6718
-2.6846 8.5484 10.0959
0.0538 9.2971 8.7992
-4.1994 12.3046 1.1203
-6.1167 0.5707 10.5329
-0.1531 4.6195 5.7607
6.3236 -1.4617 8.1158
-1.5687 4.8637 11.7678
3.4859 9.7659 0.6833
2.4776 -2.8214 7.1274
7.7392 13.8405 0.4369
7.7392 3.8627 5.3237
7.8385 8.1896 6.8809
-5.2077 6.6922 6.8809
-0.0538 1.1075 2.7921
-0.8552 5.1159 0.6833
11.5851 4.0389 3.6519
6.8302 10.8429 3.6519
-5.1084 11.0191 5.3237
-1.7756 -0.5707 10.5329
5.3153 6.3334 10.0959
10.3699 -3.5782 7.5643
3.4859 5.6866 1.6718
-2.5769 -0.7487 6.0071
-2.4776 -6.3996 12.4511
-2.4776 3.5782 7.5643
2.6846 1.8562 4.0889
10.4692 0.7487 6.0071
-1.0621 8.9026 4.7722
3.6929 5.9793 4.7722
10.6761 1.0413 0.4369
-6.3236 3.4020 9.2361
5.2077 -1.8562 4.0889
6.1167 -1.7543 11.2162
5.4146 2.8214 7.1274
2.5770 5.5847 8.7992
6.8302 2.5772 1.1203
9.4609 -4.8637 11.7678
6.1167 2.3250 12.2047
7.9461 -1.1075 2.7921
11.3782 6.8702 2.3552
-5.4146 6.3996 12.4511
-1.5687 -3.4020 9.2361
1.7756 -2.3250 12.2047
1.7756 1.7543 11.2162
7.0371 8.0116 2.3552
2.7839 10.2623 5.7607
1.5687 1.4617 8.1158
-3.9461 -2.7903 11.2770
6.5769 0.9301 4.8330
9.2077 4.6506 1.6110
11.8384 0.0000 3.2220
1.3154 -0.9301 4.8330
3.9461 0.0000 9.6660
9.2077 10.2312 1.6110
-3.9461 2.7903 11.2770
3.9461 8.3710 8.0550
-6.5769 7.4409 9.6660
1.3154 7.4409 3.2220
-1.3154 6.5108 8.0550
```

Calculated values
The value obtained for the total magnetization is 0.0 Bohr magnetons per cell. Its calculated volume is 3027.4 Å³ per cell. The calculation puts the raw formation energy at 1.216 eV/f.u. The space-group type is No. 230.

The following is a DFT calculation (PBE) of a relaxed Hg2BiBr crystal.

Geometry as POSCAR:
```
Hg2BiBr
1.0
-1.3121 -3.8816 -5.2576
4.7895 -4.2197 1.9200
-3.0950 -7.7466 2.2662
Br Hg Bi
2 4 2
Cartesian
1.7387 -4.0506 -1.6688
1.7166 -8.0085 1.2587
-1.1608 -8.7214 0.3905
-1.0345 -5.0065 -2.6371
0.8650 -13.0251 -1.1632
2.0950 -4.9428 1.2669
-1.3342 -7.8394 -2.3301
0.0000 0.0000 0.0000
```

Calculated values
The value obtained for the total magnetization is 0.0 Bohr magnetons per cell. Its calculated volume is 322.0 Å³ per cell. The calculation puts the raw formation energy at -0.391 eV/f.u. The space-group type is No. 122.

The following is a DFT calculation (PBE) of a relaxed HgBi2Br8 crystal.

Geometry as POSCAR:
```
HgBi2Br8
1.0
-1.6130 -4.2853 -5.8721
-3.1795 -1.8632 6.9541
-6.3438 5.8328 -2.5142
Bi Br Hg
2 8 1
Cartesian
-7.6259 -1.4649 -1.5577
-3.5103 1.1492 0.1255
-8.7747 0.9067 -0.5964
-5.1139 3.3701 -1.0549
-2.3616 -1.2224 -0.8358
-7.9737 3.0349 2.3199
-6.0224 -3.6858 -0.3773
-3.1626 -3.3506 -3.7521
-5.5819 -0.3438 -2.9372
-5.5544 0.0281 1.5050
0.0000 0.0000 0.0000
```

Calculated values
The value obtained for the total magnetization is 0.0 Bohr magnetons per cell. Its calculated volume is 459.5 Å³ per cell. The calculation puts the raw formation energy at -6.131 eV/f.u. The space-group type is No. 12.

The following is a DFT calculation (PBE) of a relaxed Hg2BiBr8 crystal.

Geometry as POSCAR:
```
Hg2BiBr8
1.0
7.1577 -1.1747 -0.8206
-0.3515 8.4219 0.4478
-0.3515 3.3188 7.7533
Br Hg Bi
8 2 1
Cartesian
4.4947 8.9338 6.2405
1.0989 3.1710 5.2529
1.9600 1.6321 1.1400
1.0989 6.0233 1.1695
5.3559 7.3949 2.1276
4.4459 3.4919 2.4392
5.3559 4.5425 6.2110
2.0088 7.0740 4.9414
1.4558 9.0837 6.3452
4.9989 1.4821 1.0353
0.0000 0.0000 0.0000
```

Calculated values
The value obtained for the total magnetization is 0.7 Bohr magnetons per cell. Its calculated volume is 452.3 Å³ per cell. The calculation puts the raw formation energy at -4.445 eV/f.u. The space-group type is No. 12.

The following is a DFT calculation (PBE) of a relaxed Hg6BiBr12 crystal.

Geometry as POSCAR:
```
Hg6BiBr12
1.0
-7.0963 0.5996 -5.9165
-4.0254 -8.2498 -1.2078
-8.0974 -0.4323 4.4684
Br Hg Bi
12 6 1
Cartesian
-12.0116 -3.3829 0.1440
-7.9821 -4.1269 1.0625
-10.4007 -6.8126 -1.0757
-6.4818 -7.6520 0.2040
-9.4242 -7.6780 -4.7785
-11.2370 -3.9556 -3.7183
-11.2349 -5.9362 3.0234
-9.7949 -0.4045 2.1227
-7.9842 -2.1463 -5.6793
-7.2075 -4.6996 -2.7999
-12.7373 -0.4306 -2.8599
-8.8184 -1.2699 -1.5802
-13.1548 -7.2562 -1.3495
-5.5808 -2.6932 0.8758
-6.0643 -0.8264 -1.3063
-14.3276 -4.6477 -0.8013
-4.8915 -3.4349 -1.8546
-13.6383 -5.3894 -3.5317
0.0000 0.0000 0.0000
```

Calculated values
The value obtained for the total magnetization is 0.0 Bohr magnetons per cell. Its calculated volume is 666.9 Å³ per cell. The calculation puts the raw formation energy at -6.872 eV/f.u. The space-group type is No. 148.